1.
CePrCdIn after structural relaxation, computed with GGA-PBE.

Unit cell a=7.7579 b=7.7579 c=7.7579 alpha=90.00 beta=90.00 gamma=90.00
Space group F-43m (No. 216)
Unique sites:
Ce1 0.0000 0.0000 0.0000 (multiplicity 4)
Pr1 0.0000 0.0000 0.5000 (multiplicity 4)
Cd1 0.2500 0.2500 0.7500 (multiplicity 4)
In1 0.2500 0.2500 0.2500 (multiplicity 4)

=====

2.
Ho5Er4Sc2 after structural relaxation, computed with GGA-PBE.

Calculated values
- Relative energy among the computed polymorphs: 0.224 eV per atom

Unit cell a=3.4261 b=8.9372 c=22.3958 alpha=90.00 beta=90.00 gamma=90.00
Space group Immm (No. 71)
Unique sites:
Ho1 0.0000 0.0000 0.0000 (multiplicity 2)
Ho2 0.0000 0.2981 0.3498 (multiplicity 8)
Er1 0.0000 0.1907 0.5000 (multiplicity 4)
Er2 0.0000 0.5000 0.0990 (multiplicity 4)
Sc1 0.0000 0.5000 0.2302 (multiplicity 4)

=====

no.,electronic total energy (eV per cell),formation enthalpy at 0 K (eV per formula unit)
1,-62.4,-1.23
2,-101.9,2.87